Entry from Alexandria via LeMat-Bulk: a relaxed MnVNi2O6 crystal (GGA+U).

Cell and atoms, written as POSCAR:
```
MnVNi2O6
1.0
-1.6551 0.3108 3.5469
-1.6944 -5.3197 -0.3245
4.7799 -1.6674 2.3766
Ni O Mn V
2 6 1 1
Direct
0.8660 0.5000 0.0000
0.8660 0.0000 0.5000
0.2242 0.0000 0.0000
0.7427 0.2362 0.7638
0.1982 0.5000 0.5000
0.7427 0.2362 0.2362
0.7427 0.7638 0.2362
0.7427 0.7638 0.7638
0.6778 0.5000 0.5000
0.6435 0.0000 0.0000
```

Calculated values
electronic total energy = -6.11 eV/atom
magnetization = 8.00 μB per cell
D(E_F) = 2.05 states/eV per cell